CdRu2Rh: optimized geometry, PBE.

The calculation puts the volume at 15.69 A^3/atom. The crystal system is cubic. Its formation energy from the elements is 42.9 kJ per mole of atoms. The calculation puts the final energy at -100.16 eV for the cell shown.

The space group is F-43m (No. 216) and the conventional cell measures 6.308, 6.308 and 6.308 Å, with angles of 90.00, 90.00 and 90.00 degrees. The inequivalent atoms are Cd at (0.000, 0.000, 0.000), Ru at (0.000, 0.000, 0.500), Ru at (0.250, 0.250, 0.250) and Rh at (0.250, 0.250, 0.750).